No. 1
BaTa2As after structural relaxation. Source: the Alexandria database, functional PBE.

Computed properties:
space group = Imm2 (44)
ρ = 9.35 g/cm³
calculated formation energy = 67.3 kJ per mole of atoms
calculated volume = 101.98 Å³/cell

abc: 6.2175 6.2175 6.2175
angles: 149.96 120.97 67.65
Closest atoms and distances in Å follow each position.
Sites, in units of the cell vectors:
As1 0.4594 0.4594 0.0000  2 Ta 2.65
Ba1 0.7367 0.2367 0.5000  2 Ba 3.22, 2 As 3.29, 6 Ta 3.47-3.60
Ta1 0.0482 0.0482 0.0000  2 Ta 2.68
Ta2 0.2557 0.7557 0.5000  2 As 2.65, 2 Ta 2.68

---

No. 2
Cs2US2Br4 after structural relaxation. Source: the Alexandria database, functional PBE.

Computed properties:
space group = C2/m (12)
ρ = 4.22 g/cm³
calculated volume = 349.09 Å³/cell
formation energy without anion corrections = -1214.6 kJ/mol of formula units

abc: 6.6449 7.7788 7.7788
angles: 60.57 93.89 93.89
Closest atoms and distances in Å follow each position.
Sites, in units of the cell vectors:
Cs1 0.2619 0.6612 0.6612  3 S 3.76-3.95, 8 Br 3.88-3.99
Cs2 0.7382 0.3388 0.3388  3 S 3.76-3.95, 8 Br 3.88-3.99
U1 0.5000 0.0000 0.0000  2 S 2.36
S1 0.3078 0.1401 0.1401  1 U 2.36
S2 0.6922 0.8599 0.8599  1 U 2.36
Br1 0.2540 0.6574 0.1613  1 U 2.78
Br2 0.7460 0.8387 0.3426  1 U 2.78
Br3 0.7460 0.3426 0.8387  1 U 2.78
Br4 0.2540 0.1613 0.6574  1 U 2.78

---

No. 3
Li2SbMo after structural relaxation. Source: the Alexandria database, functional PBE.

Computed properties:
space group = Cmmm (65)
ρ = 5.27 g/cm³
calculated volume = 72.92 Å³/cell
formation energy without anion corrections = 113.7 kJ/mol of formula units

abc: 2.8264 2.8264 9.2602
angles: 90.00 90.00 99.69
Closest atoms and distances in Å follow each position.
Sites, in units of the cell vectors:
Li1 0.0000 0.0000 0.0059  4 Li 2.83, 4 Mo 2.90-3.13, 2 Sb 2.99
Li2 0.0000 0.0000 0.4941  4 Li 2.83, 4 Mo 2.90-3.13, 2 Sb 2.99
Mo1 0.5000 0.5000 0.2500  4 Mo 2.83, 8 Li 2.90-3.13
Sb1 0.5000 0.5000 0.7500  4 Sb 2.83, 4 Li 2.99

---

No. 4
NiC2 after structural relaxation. Source: the Alexandria database, functional PBE.

Computed properties:
space group = Pa-3 (205)
ρ = 5.27 g/cm³
calculated formation energy = 114.9 kJ per mole of atoms
calculated volume = 104.15 Å³/cell

abc: 4.7050 4.7050 4.7050
angles: 90.00 90.00 90.00
Closest atoms and distances in Å follow each position.
Sites, in units of the cell vectors:
Ni1 0.0000 0.0000 0.0000  6 C 2.04
Ni2 0.5000 0.5000 0.0000  6 C 2.04
Ni3 0.5000 0.0000 0.5000  6 C 2.04
Ni4 0.0000 0.5000 0.5000  6 C 2.04
C1 0.4177 0.4177 0.4177  1 C 1.34
C2 0.5823 0.5823 0.5823  1 C 1.34
C3 0.9177 0.0823 0.5823  1 C 1.34
C4 0.0823 0.9177 0.4177  1 C 1.34
C5 0.5823 0.9177 0.0823  1 C 1.34
C6 0.4177 0.0823 0.9177  1 C 1.34
C7 0.0823 0.5823 0.9177  1 C 1.34
C8 0.9177 0.4177 0.0823  1 C 1.34